No. 1
TaMn3As (GGA-PBE, relaxed); volume = 75.9 Å³/cell; DFT total energy = -39.85 eV per cell; ΔE to the lowest computed polymorph = 0.0 meV per atom; spin magnetization = 0.27 μB per cell; formation energy from the elements = 833 meV/atom
1.0
4.233 0.000 0.000
0.000 4.233 0.000
0.000 0.000 4.233
Ta Mn As
1 3 1
direct
0.000 0.000 0.000
0.000 0.500 0.500
0.500 0.000 0.500
0.500 0.500 0.000
0.500 0.500 0.500

=====

No. 2
La2NbP (GGA-PBE, relaxed); volume = 254.5 Å³/cell; DFT total energy = -51.68 eV per cell; spin magnetization = 2.10 μB per cell; formation energy from the elements = -127 meV/atom
1.0
-5.162 5.162 2.387
5.162 -5.162 2.387
5.162 5.162 -2.387
La Nb P
4 2 2
direct
0.375 0.018 0.143
0.768 0.625 0.643
0.875 0.232 0.857
0.982 0.125 0.357
0.250 0.750 0.500
0.500 0.500 0.000
0.000 0.000 0.000
0.750 0.250 0.500

=====

Q: Which of these has the lowest DFT total energy?
A: La2NbP